# PRhCl, relaxed, DFT PBEsol
# **Distance to the lowest polymorph of the same formula**: 0.00 eV per formula unit
# **M_tot**: 0.0 Bohr magnetons per cell
# **Energy relative to the elements, uncorrected**: -0.086 eV/atom
data_PRhCl
_cell_length_a 5.839
_cell_length_b 5.839
_cell_length_c 5.839
_cell_angle_alpha 150.56
_cell_angle_beta 150.56
_cell_angle_gamma 42.12
_space_group_name_H-M_alt 'P 1'
_space_group_IT_number 1
_space_group_name_Hall 'P 1'
loop_
_atom_site_label
_atom_site_type_symbol
_atom_site_fract_x
_atom_site_fract_y
_atom_site_fract_z
P1 P 0.000 0.000 0.000
Rh1 Rh 0.608 0.608 0.000
Cl1 Cl 0.272 0.272 0.000

---

# BaP2Pd, relaxed, DFT PBEsol
# **Raw total energy**: -19.605 eV per cell
# **M_tot**: 0.0 Bohr magnetons per cell
data_BaP2Pd
_cell_length_a 4.860
_cell_length_b 4.860
_cell_length_c 4.860
_cell_angle_alpha 60.00
_cell_angle_beta 60.00
_cell_angle_gamma 60.00
_space_group_name_H-M_alt 'P 1'
_space_group_IT_number 1
_space_group_name_Hall 'P 1'
loop_
_atom_site_label
_atom_site_type_symbol
_atom_site_fract_x
_atom_site_fract_y
_atom_site_fract_z
Ba1 Ba 0.000 0.000 0.000
P1 P 0.250 0.250 0.250
P2 P 0.750 0.750 0.750
Pd1 Pd 0.500 0.500 0.500

---

# KScAs, relaxed, DFT PBEsol
# **Raw total energy**: -14.187 eV per cell
# **M_tot**: 0.3 Bohr magnetons per cell
data_KScAs
_cell_length_a 4.148
_cell_length_b 4.148
_cell_length_c 7.001
_cell_angle_alpha 90.00
_cell_angle_beta 90.00
_cell_angle_gamma 120.00
_space_group_name_H-M_alt 'P 1'
_space_group_IT_number 1
_space_group_name_Hall 'P 1'
loop_
_atom_site_label
_atom_site_type_symbol
_atom_site_fract_x
_atom_site_fract_y
_atom_site_fract_z
K1 K 0.000 0.000 0.000
Sc1 Sc 0.333 0.667 0.470
As1 As 0.667 0.333 0.330

---

# MgTlAsSe2, relaxed, DFT PBEsol
# **M_tot**: 0.5 Bohr magnetons per cell
# **Energy relative to the elements, uncorrected**: 0.610 eV/atom
data_MgTlAsSe2
_cell_length_a 5.322
_cell_length_b 5.322
_cell_length_c 5.152
_cell_angle_alpha 90.00
_cell_angle_beta 90.00
_cell_angle_gamma 90.00
_space_group_name_H-M_alt 'P 1'
_space_group_IT_number 1
_space_group_name_Hall 'P 1'
loop_
_atom_site_label
_atom_site_type_symbol
_atom_site_fract_x
_atom_site_fract_y
_atom_site_fract_z
Mg1 Mg 0.000 0.000 0.000
Tl1 Tl 0.500 0.500 0.500
As1 As 0.500 0.500 0.000
Se1 Se 0.000 0.500 0.500
Se2 Se 0.500 0.000 0.500

---

# Be2SbOs, relaxed, DFT PBEsol
# **M_tot**: 0.0 Bohr magnetons per cell
# **Energy relative to the elements, uncorrected**: 0.346 eV/atom
data_Be2SbOs
_cell_length_a 3.999
_cell_length_b 3.999
_cell_length_c 3.206
_cell_angle_alpha 90.00
_cell_angle_beta 90.00
_cell_angle_gamma 92.46
_space_group_name_H-M_alt 'P 1'
_space_group_IT_number 1
_space_group_name_Hall 'P 1'
loop_
_atom_site_label
_atom_site_type_symbol
_atom_site_fract_x
_atom_site_fract_y
_atom_site_fract_z
Be1 Be 0.000 0.500 0.000
Be2 Be 0.500 0.000 0.000
Sb1 Sb 0.000 0.000 0.500
Os1 Os 0.500 0.500 0.500

---

# Sb4IrOs, relaxed, DFT PBEsol
# **M_tot**: 0.0 Bohr magnetons per cell
# **Energy relative to the elements, uncorrected**: 1.604 eV/atom
data_Sb4IrOs
_cell_length_a 5.742
_cell_length_b 5.742
_cell_length_c 5.742
_cell_angle_alpha 60.00
_cell_angle_beta 60.00
_cell_angle_gamma 60.00
_space_group_name_H-M_alt 'P 1'
_space_group_IT_number 1
_space_group_name_Hall 'P 1'
loop_
_atom_site_label
_atom_site_type_symbol
_atom_site_fract_x
_atom_site_fract_y
_atom_site_fract_z
Sb1 Sb 0.125 0.125 0.125
Sb2 Sb 0.125 0.125 0.625
Sb3 Sb 0.125 0.625 0.125
Sb4 Sb 0.625 0.125 0.125
Ir1 Ir 0.750 0.750 0.750
Os1 Os 0.500 0.500 0.500

---

# CaTm2S4, relaxed, DFT PBEsol
# **Distance to the lowest polymorph of the same formula**: 0.00 eV per formula unit
# **M_tot**: 0.0 Bohr magnetons per cell
# **Energy relative to the elements, uncorrected**: -2.149 eV/atom
data_CaTm2S4
_cell_length_a 12.676
_cell_length_b 3.812
_cell_length_c 12.850
_cell_angle_alpha 90.00
_cell_angle_beta 90.00
_cell_angle_gamma 90.00
_space_group_name_H-M_alt 'P 1'
_space_group_IT_number 1
_space_group_name_Hall 'P 1'
loop_
_atom_site_label
_atom_site_type_symbol
_atom_site_fract_x
_atom_site_fract_y
_atom_site_fract_z
Ca1 Ca 0.132 0.250 0.083
Ca2 Ca 0.368 0.750 0.583
Ca3 Ca 0.632 0.250 0.417
Ca4 Ca 0.868 0.750 0.917
Tm1 Tm 0.106 0.750 0.416
Tm2 Tm 0.147 0.750 0.798
Tm3 Tm 0.353 0.250 0.298
Tm4 Tm 0.394 0.250 0.916
Tm5 Tm 0.606 0.750 0.084
Tm6 Tm 0.647 0.750 0.702
Tm7 Tm 0.853 0.250 0.202
Tm8 Tm 0.894 0.250 0.584
S1 S 0.030 0.250 0.882
S2 S 0.036 0.750 0.618
S3 S 0.217 0.750 0.237
S4 S 0.241 0.250 0.474
S5 S 0.259 0.750 0.974
S6 S 0.283 0.250 0.737
S7 S 0.464 0.250 0.118
S8 S 0.470 0.750 0.382
S9 S 0.530 0.250 0.618
S10 S 0.536 0.750 0.882
S11 S 0.717 0.750 0.263
S12 S 0.741 0.250 0.026
S13 S 0.759 0.750 0.526
S14 S 0.783 0.250 0.763
S15 S 0.964 0.250 0.382
S16 S 0.970 0.750 0.118

---

# KY2Os, relaxed, DFT PBEsol
# **Distance to the lowest polymorph of the same formula**: 0.00 eV per formula unit
# **M_tot**: 0.0 Bohr magnetons per cell
data_KY2Os
_cell_length_a 3.586
_cell_length_b 4.149
_cell_length_c 8.813
_cell_angle_alpha 90.00
_cell_angle_beta 90.00
_cell_angle_gamma 90.00
_space_group_name_H-M_alt 'P 1'
_space_group_IT_number 1
_space_group_name_Hall 'P 1'
loop_
_atom_site_label
_atom_site_type_symbol
_atom_site_fract_x
_atom_site_fract_y
_atom_site_fract_z
K1 K 0.000 0.000 0.000
Y1 Y 0.000 0.000 0.384
Y2 Y 0.500 0.500 0.624
Os1 Os 0.500 0.500 0.327